# VZnI2O | Alexandria | PBE+U | optimized geometry
# crystal system	tetragonal
# density	5.2	g/cm³
# raw total energy	-3.7961	eV per atom
data_VZnI2O
_cell_length_a 5.739
_cell_length_b 5.739
_cell_length_c 3.720
_cell_angle_alpha 90.00
_cell_angle_beta 90.00
_cell_angle_gamma 90.00
_symmetry_space_group_name_H-M 'P 1'
_symmetry_Int_Tables_number 1
_symmetry_space_group_name_Hall 'P 1'
loop_
_atom_site_label
_atom_site_fract_x
_atom_site_fract_y
_atom_site_fract_z
Zn1 0.500 0.500 0.500
I1 0.500 0.000 0.000
I2 0.000 0.500 0.000
V1 0.000 0.000 0.000
O1 0.000 0.000 0.500